# 1
Material: SrTmSi4
Method: DFT, PBE
State: optimized geometry

Output
As for the uncorrected formation energy: -36 kJ per mole of atoms.

Unit cell a=4.2535 b=7.6554 c=16.0106 alpha=90.00 beta=90.00 gamma=90.00
Fractional coordinates of all 24 atoms:
Tm 0.0000 0.1301 0.4123
Si 0.5000 0.7799 0.1945
Sr 0.0000 0.6239 0.3427
Tm 0.0000 0.6301 0.0877
Si 0.5000 0.1191 0.9506
Si 0.5000 0.4700 0.1902
Si 0.5000 0.8695 0.4568
Si 0.5000 0.6305 0.9568
Si 0.5000 0.9700 0.3098
Sr 0.0000 0.8761 0.8427
Sr 0.0000 0.1239 0.1573
Si 0.5000 0.8809 0.0494
Si 0.5000 0.7201 0.6945
Si 0.5000 0.6191 0.5494
Si 0.5000 0.2799 0.3055
Si 0.5000 0.2201 0.8055
Tm 0.0000 0.8699 0.5877
Si 0.5000 0.5300 0.8098
Si 0.5000 0.3695 0.0432
Si 0.5000 0.1305 0.5432
Tm 0.0000 0.3699 0.9123
Sr 0.0000 0.3761 0.6573
Si 0.5000 0.0300 0.6902
Si 0.5000 0.3809 0.4506

---

# 2
Material: Ca2ThCd
Method: DFT, PBE
State: optimized geometry

Output
The value obtained for the energy relative to the lowest polymorph listed for this composition is 0.00 eV/f.u. Its formation energy is -2 kJ per mole of atoms.

Unit cell a=3.5798 b=3.5798 c=9.9281 alpha=90.00 beta=90.00 gamma=90.00
Fractional coordinates of all 4 atoms:
Th 0.5000 0.5000 0.5000
Ca 0.0000 0.0000 0.2169
Ca 0.0000 0.0000 0.7831
Cd 0.5000 0.5000 0.0000

---

# 3
Material: Pm3Ho2PuTe6
Method: DFT, PBE
State: optimized geometry

Output
As for the uncorrected formation energy: -127 kJ per mole of atoms.

Unit cell a=4.3827 b=8.8904 c=9.8977 alpha=103.50 beta=102.79 gamma=90.00
Site moments in Bohr magnetons follow the coordinates.
Fractional coordinates of all 12 atoms:
Pu 0.5000 0.0000 0.0000  5.56
Pm 0.8352 0.1662 0.6704  0.01
Te 0.0020 0.2484 0.0039  -0.03
Te 0.6707 0.5765 0.3414  0.00
Pm 0.5000 0.5000 0.0000  -0.01
Te 0.3332 0.9101 0.6664  -0.01
Te 0.6668 0.0899 0.3336  -0.01
Ho 0.8367 0.6724 0.6734  0.05
Pm 0.1648 0.8338 0.3296  0.01
Ho 0.1633 0.3276 0.3266  0.05
Te 0.3293 0.4235 0.6586  0.00
Te 0.9980 0.7516 0.9961  -0.03

---

# 4
Material: SrCa2Zn
Method: DFT, PBE
State: optimized geometry

Output
Its formation energy is -10 kJ per mole of atoms.

Unit cell a=4.9049 b=6.7047 c=9.5971 alpha=90.00 beta=90.00 gamma=111.51
Fractional coordinates of all 8 atoms:
Ca 0.3483 0.6968 0.9432
Ca 0.6517 0.3032 0.0568
Zn 0.7669 0.5357 0.7500
Ca 0.6517 0.3032 0.4432
Sr 0.0585 0.1164 0.7500
Sr 0.9415 0.8836 0.2500
Zn 0.2331 0.4643 0.2500
Ca 0.3483 0.6968 0.5568

---

# 5
Material: La2ZnCo
Method: DFT, PBE
State: optimized geometry

Output
Its formation energy is -9 kJ per mole of atoms.

Unit cell a=3.9745 b=3.9745 c=8.2193 alpha=76.18 beta=76.18 gamma=59.90
Fractional coordinates of all 4 atoms:
La 0.0158 0.0158 0.9507
La 0.4842 0.4842 0.5493
Zn 0.2500 0.2500 0.2500
Co 0.7500 0.7500 0.7500

---

# 6
Material: Pm2NdHo6Er3
Method: DFT, PBE
State: optimized geometry

Output
Its formation energy is 2 kJ per mole of atoms.

Unit cell a=6.1559 b=6.1559 c=11.7537 alpha=95.00 beta=95.00 gamma=119.96
Fractional coordinates of all 12 atoms:
Ho 0.4185 0.0850 0.2541
Ho 0.9150 0.5815 0.7459
Er 0.5000 0.5000 0.5000
Ho 0.2485 0.2485 0.7460
Er 0.1667 0.8333 0.5000
Pm 0.3333 0.6667 0.0000
Ho 0.5815 0.9150 0.7459
Er 0.8333 0.1667 0.5000
Ho 0.0850 0.4185 0.2541
Ho 0.7515 0.7515 0.2540
Nd 0.0000 0.0000 0.0000
Pm 0.6667 0.3333 0.0000

---

# 7
Material: PuMgIn5
Method: DFT, PBE
State: optimized geometry

Output
Its formation energy is -12 kJ per mole of atoms.

Unit cell a=4.9596 b=4.9596 c=7.4310 alpha=90.00 beta=90.00 gamma=90.00
Site moments in Bohr magnetons follow the coordinates.
Fractional coordinates of all 7 atoms:
In 0.5000 0.0000 0.2832  0.01
Pu 0.0000 0.0000 0.0000  5.41
Mg 0.0000 0.0000 0.5000  -0.01
In 0.5000 0.5000 0.0000  -0.02
In 0.0000 0.5000 0.7168  0.01
In 0.5000 0.0000 0.7168  0.01
In 0.0000 0.5000 0.2832  0.01

---

# 8
Material: LiRe2Br
Method: DFT, PBE
State: optimized geometry

Output
The value obtained for the energy relative to the lowest polymorph listed for this composition is 0.50 eV/f.u. As for the uncorrected formation energy: 27 kJ per mole of atoms.

Unit cell a=3.5940 b=3.5940 c=8.2594 alpha=72.51 beta=72.51 gamma=57.81
Fractional coordinates of all 4 atoms:
Br 0.4484 0.4484 0.4785
Re 0.0449 0.0449 0.9492
Li 0.2177 0.2177 0.2797
Re 0.7889 0.7889 0.7926

---

# 9
Material: Na2BTeO6
Method: DFT, PBE
State: optimized geometry

Output
As for the uncorrected formation energy: -105 kJ per mole of atoms.

Unit cell a=4.8475 b=5.6860 c=5.6860 alpha=120.00 beta=90.00 gamma=90.00
Site moments in Bohr magnetons follow the coordinates.
Fractional coordinates of all 10 atoms:
O 0.7823 0.1403 0.2806  0.14
O 0.7823 0.1403 0.8597  0.14
O 0.7823 0.7194 0.8597  0.14
Na 0.0662 0.3333 0.6667  0.00
O 0.2177 0.2806 0.1403  0.14
Na 0.9338 0.6667 0.3333  0.00
B 0.0000 0.0000 0.0000  -0.01
O 0.2177 0.8597 0.7194  0.14
Te 0.5000 0.0000 0.0000  -0.02
O 0.2177 0.8597 0.1403  0.14

---

# 10
Material: Hf2PaH8
Method: DFT, PBE
State: optimized geometry

Output
As for the uncorrected energy: -5.427 eV per atom.

Unit cell a=3.1939 b=5.6837 c=5.9018 alpha=118.79 beta=105.70 gamma=90.00
Site moments in Bohr magnetons follow the coordinates.
Fractional coordinates of all 11 atoms:
Pa 0.5000 0.0000 0.0000  0.55
H 0.6664 0.8984 0.3328  0.00
H 0.1690 0.1690 0.3380  0.00
H 0.6664 0.4344 0.3328  0.00
H 0.8310 0.8310 0.6620  0.00
H 0.0000 0.7112 0.0000  0.00
H 0.3336 0.5656 0.6672  0.00
H 0.0000 0.2888 0.0000  0.00
H 0.3336 0.1016 0.6672  0.00
Hf 0.1705 0.6705 0.3409  0.08
Hf 0.8295 0.3295 0.6591  0.08

---

# 11
Material: RhI3F
Method: DFT, PBE
State: optimized geometry

Output
The value obtained for the energy relative to the lowest polymorph listed for this composition is 0.00 eV/f.u. As for the uncorrected formation energy: 13 kJ per mole of atoms.

Unit cell a=5.3506 b=5.3506 c=5.3506 alpha=90.00 beta=90.00 gamma=90.00
Fractional coordinates of all 5 atoms:
Rh 0.0000 0.0000 0.0000
F 0.5000 0.5000 0.5000
I 0.0000 0.5000 0.0000
I 0.0000 0.0000 0.5000
I 0.5000 0.0000 0.0000

---

# 12
Material: TbPu2Ru9
Method: DFT, PBE
State: optimized geometry

Output
Its formation energy is -3 kJ per mole of atoms.

Unit cell a=5.2111 b=5.2111 c=9.3405 alpha=73.80 beta=73.80 gamma=60.00
Site moments in Bohr magnetons follow the coordinates.
Fractional coordinates of all 12 atoms:
Pu 0.8591 0.8591 0.4228  4.79
Ru 0.9220 0.4155 0.2471  -0.33
Ru 0.3356 0.3356 0.9933  -0.42
Ru 0.5000 0.5000 0.5000  -0.53
Ru 0.4155 0.9220 0.2471  -0.33
Pu 0.1409 0.1409 0.5772  4.79
Tb 0.0000 0.0000 0.0000  0.06
Ru 0.6644 0.6644 0.0067  -0.42
Ru 0.5845 0.0780 0.7529  -0.33
Ru 0.0780 0.5845 0.7529  -0.33
Ru 0.5845 0.5845 0.7529  -0.33
Ru 0.4155 0.4155 0.2471  -0.33

---

# 13
Material: HgBiTe
Method: DFT, PBE
State: optimized geometry

Output
The value obtained for the energy relative to the lowest polymorph listed for this composition is 0.09 eV/f.u. As for the uncorrected formation energy: 0 kJ per mole of atoms.

Unit cell a=4.2901 b=4.2901 c=5.9350 alpha=90.00 beta=90.00 gamma=120.00
Fractional coordinates of all 3 atoms:
Hg 0.0000 0.0000 0.0006
Bi 0.3333 0.6667 0.6654
Te 0.6667 0.3333 0.3340

---

# 14
Material: BaSr2Ag
Method: DFT, PBE
State: optimized geometry

Output
The value obtained for the energy relative to the lowest polymorph listed for this composition is 0.01 eV/f.u. Its formation energy is -15 kJ per mole of atoms.

Unit cell a=4.6392 b=7.5755 c=10.7909 alpha=90.00 beta=90.00 gamma=107.85
Fractional coordinates of all 8 atoms:
Sr 0.3530 0.7062 0.9358
Sr 0.3530 0.7062 0.5642
Ba 0.9284 0.8569 0.2500
Ag 0.7530 0.5065 0.7500
Sr 0.6470 0.2938 0.4358
Sr 0.6470 0.2938 0.0642
Ba 0.0716 0.1431 0.7500
Ag 0.2470 0.4935 0.2500

---

# 15
Material: Ba2AgPb2
Method: DFT, PBE
State: optimized geometry

Output
The value obtained for the energy relative to the lowest polymorph listed for this composition is 0.26 eV/f.u. Its formation energy is -39 kJ per mole of atoms.

Unit cell a=4.0780 b=5.2093 c=8.6633 alpha=107.50 beta=90.00 gamma=90.00
Fractional coordinates of all 5 atoms:
Ba 0.0000 0.6940 0.3879
Pb 0.5000 0.3033 0.6067
Ag 0.5000 0.1063 0.2126
Pb 0.5000 0.5143 0.0287
Ba 0.0000 0.9241 0.8483

---

# 16
Material: ErTm2O
Method: DFT, PBE
State: optimized geometry

Output
The value obtained for the energy relative to the lowest polymorph listed for this composition is 0.00 eV/f.u. As for the uncorrected formation energy: -132 kJ per mole of atoms.

Unit cell a=3.4582 b=3.4582 c=8.7525 alpha=78.61 beta=78.61 gamma=60.00
Fractional coordinates of all 4 atoms:
Tm 0.2803 0.2803 0.1592
Er 0.5000 0.5000 0.5000
O 0.0000 0.0000 0.0000
Tm 0.7197 0.7197 0.8408

---

# 17
Material: Sr4O3F2
Method: DFT, PBE
State: optimized geometry

Output
As for the uncorrected formation energy: -297 kJ per mole of atoms.

Unit cell a=3.6481 b=6.4431 c=8.0388 alpha=79.62 beta=76.89 gamma=73.55
Fractional coordinates of all 9 atoms:
F 0.3653 0.8891 0.3802
Sr 0.5919 0.7065 0.1097
Sr 0.2317 0.8319 0.7047
O 0.2021 0.4130 0.1827
O 0.0000 0.0000 0.0000
F 0.6347 0.1109 0.6198
Sr 0.4081 0.2935 0.8903
O 0.7979 0.5870 0.8173
Sr 0.7683 0.1681 0.2953

---

# 18
Material: MnCuSi2
Method: DFT, PBE
State: optimized geometry

Output
As for the uncorrected formation energy: 0 kJ per mole of atoms.

Unit cell a=3.3845 b=3.7729 c=3.7729 alpha=90.00 beta=90.00 gamma=90.00
Site moments in Bohr magnetons follow the coordinates.
Fractional coordinates of all 4 atoms:
Si 0.0000 0.5000 0.5000  -0.03
Cu 0.5000 0.5000 0.0000  0.02
Mn 0.5000 0.0000 0.5000  1.84
Si 0.0000 0.0000 0.0000  -0.03

---

# 19
Material: CrNiMoOs
Method: DFT, PBE
State: optimized geometry

Output
Its formation energy is 2 kJ per mole of atoms.

Unit cell a=3.6976 b=3.7681 c=3.7873 alpha=90.00 beta=90.00 gamma=90.00
Site moments in Bohr magnetons follow the coordinates.
Fractional coordinates of all 4 atoms:
Mo 0.0000 0.0000 0.0000  -0.04
Ni 0.5000 0.0000 0.5000  -0.01
Os 0.0000 0.5000 0.5000  -0.02
Cr 0.5000 0.5000 0.0000  0.26

---

# 20
Material: PrPuI6
Method: DFT, PBE
State: optimized geometry

Output
As for the uncorrected formation energy: -114 kJ per mole of atoms.

Unit cell a=7.7729 b=7.7713 c=8.4729 alpha=62.69 beta=62.70 gamma=60.00
Site moments in Bohr magnetons follow the coordinates.
Fractional coordinates of all 8 atoms:
I 0.9135 0.5916 0.2507  -0.03
I 0.2442 0.9134 0.2506  -0.03
I 0.7558 0.0866 0.7494  -0.03
Pu 0.0000 0.0000 0.0000  5.14
I 0.4083 0.7558 0.7494  -0.03
I 0.0865 0.4084 0.7493  -0.03
I 0.5917 0.2442 0.2506  -0.03
Pr 0.5000 0.5000 0.5000  0.01

---

# 21
Material: Rb5TlPt4
Method: DFT, PBE
State: optimized geometry

Output
Its formation energy is -3 kJ per mole of atoms.

Unit cell a=4.8073 b=9.0299 c=10.7719 alpha=115.29 beta=102.89 gamma=90.00
Fractional coordinates of all 10 atoms:
Pt 0.9354 0.1321 0.8708
Rb 0.5000 0.5000 0.0000
Pt 0.3914 0.0910 0.7827
Tl 0.5000 0.0000 0.0000
Rb 0.8698 0.7396 0.7397
Pt 0.6086 0.9090 0.2173
Rb 0.2086 0.8019 0.4173
Rb 0.1302 0.2604 0.2603
Rb 0.7914 0.1981 0.5827
Pt 0.0646 0.8679 0.1292

---

# 22
Material: LiHo6Ni2
Method: DFT, PBE
State: optimized geometry

Output
Its formation energy is -19 kJ per mole of atoms.

Unit cell a=8.3313 b=8.3313 c=8.3313 alpha=105.60 beta=110.27 gamma=112.63
Fractional coordinates of all 18 atoms:
Ho 0.8923 0.7105 0.1818
Ho 0.1973 0.7707 0.9680
Ho 0.8027 0.2293 0.0320
Ni 0.3471 0.0000 0.3471
Ho 0.1077 0.2895 0.8182
Ho 0.3089 0.6291 0.3202
Ni 0.5000 0.3786 0.8786
Ho 0.4713 0.2895 0.1818
Ni 0.5000 0.6214 0.1214
Ho 0.6911 0.3709 0.6798
Li 0.0000 0.5000 0.5000
Ho 0.5287 0.7105 0.8182
Ho 0.3089 0.9887 0.6798
Li 0.0000 0.0000 0.0000
Ni 0.6529 0.0000 0.6529
Ho 0.6911 0.0113 0.3202
Ho 0.1973 0.2293 0.4266
Ho 0.8027 0.7707 0.5734

---

# 23
Material: PrNd2Al2
Method: DFT, PBE
State: optimized geometry

Output
The value obtained for the energy relative to the lowest polymorph listed for this composition is 0.00 eV/f.u. Its formation energy is -28 kJ per mole of atoms.

Unit cell a=5.0344 b=5.8898 c=5.8898 alpha=72.95 beta=64.70 gamma=64.70
Fractional coordinates of all 5 atoms:
Nd 0.8016 0.6984 0.6984
Pr 0.0000 0.0000 0.0000
Al 0.5000 0.6910 0.3090
Al 0.5000 0.3090 0.6910
Nd 0.1984 0.3016 0.3016

---

# 24
Material: LiMgAg2
Method: DFT, PBE
State: optimized geometry

Output
Its formation energy is -19 kJ per mole of atoms.

Unit cell a=4.6382 b=4.6382 c=4.6382 alpha=60.00 beta=60.00 gamma=60.00
Fractional coordinates of all 4 atoms:
Ag 0.0000 0.0000 0.0000
Ag 0.2500 0.2500 0.2500
Mg 0.7500 0.7500 0.7500
Li 0.5000 0.5000 0.5000

---

# 25
Material: MgAs2PSe
Method: DFT, PBE
State: optimized geometry

Output
The value obtained for the energy relative to the lowest polymorph listed for this composition is 2.67 eV/f.u. As for the uncorrected formation energy: 89 kJ per mole of atoms.

Unit cell a=4.9573 b=4.9573 c=4.8911 alpha=90.00 beta=90.00 gamma=90.00
Fractional coordinates of all 5 atoms:
Se 0.0000 0.0000 0.5000
As 0.5000 0.0000 0.0000
As 0.0000 0.5000 0.0000
Mg 0.0000 0.0000 0.0000
P 0.5000 0.5000 0.5000